# PtRhI2O

A relaxed PtRhI2O crystal (PBE, Alexandria via LeMat-Bulk).

Cell: 5.629 5.629 3.764 Å, 90.00 90.00 90.00°
Space group P4/mmm (No. 123)
Inequivalent atoms, fractional coordinates:
Pt (0.000, 0.000, 0.000) (multiplicity 1)
Rh (0.500, 0.500, 0.500) (multiplicity 1)
I (0.000, 0.500, 0.000) (multiplicity 2)
O (0.000, 0.000, 0.500) (multiplicity 1)

Computed properties:
electronic total energy: -3.79 eV/atom
E_form (uncorrected): 48.5 kJ/mol of atoms



# La2Y3In

A relaxed La2Y3In crystal (PBE, Alexandria via LeMat-Bulk).

Cell: 5.556 18.028 3.881 Å, 90.00 90.00 90.00°
Space group Cmmm (No. 65)
Inequivalent atoms, fractional coordinates:
La (0.000, 0.182, 0.000) (multiplicity 4)
Y (0.000, 0.000, 0.500) (multiplicity 2)
Y (0.000, 0.359, 0.500) (multiplicity 4)
In (0.000, 0.500, 0.000) (multiplicity 2)

Computed properties:
electronic total energy: -5.47 eV/atom



# Zr2NiPt

A relaxed Zr2NiPt crystal (PBE, Alexandria via LeMat-Bulk).

Cell: 4.593 4.593 3.403 Å, 90.00 90.00 90.00°
Space group P4/mmm (No. 123)
Inequivalent atoms, fractional coordinates:
Zr (0.000, 0.500, 0.000) (multiplicity 2)
Ni (0.000, 0.000, 0.500) (multiplicity 1)
Pt (0.500, 0.500, 0.500) (multiplicity 1)

Computed properties:
electronic total energy: -7.86 eV/atom



# Rb3C

A relaxed Rb3C crystal (PBE, Alexandria via LeMat-Bulk).

Cell: 9.084 18.322 8.532 Å, 90.00 90.00 90.00°
Space group Cmcm (No. 63)
Inequivalent atoms, fractional coordinates:
Rb (0.000, 0.068, 0.250) (multiplicity 4)
Rb (0.246, 0.325, 0.250) (multiplicity 8)
C (0.000, 0.420, 0.250) (multiplicity 4)

Computed properties:
electronic total energy: -1.62 eV/atom



# AcZn2GePt

A relaxed AcZn2GePt crystal (PBE, Alexandria via LeMat-Bulk).

Cell: 4.462 4.512 10.319 Å, 90.00 90.00 90.00°
Space group Imm2 (No. 44)
Inequivalent atoms, fractional coordinates:
Ac (0.000, 0.000, 0.000) (multiplicity 2)
Zn (0.000, 0.000, 0.373) (multiplicity 2)
Zn (0.000, 0.500, 0.252) (multiplicity 2)
Ge (0.000, 0.000, 0.622) (multiplicity 2)
Pt (0.000, 0.500, 0.742) (multiplicity 2)

Computed properties:
electronic total energy: -4.08 eV/atom



# YBO2

A relaxed YBO2 crystal (PBE, Alexandria via LeMat-Bulk).

Cell: 2.7723 2.7723 18.8125 Å, 90.00 90.00 120.00°
Space group R-3m (No. 166, hexagonal axes)
Inequivalent atoms, fractional coordinates:
Y (0.0000, 0.0000, 0.0000) (multiplicity 3)
B (0.0000, 0.0000, 0.5000) (multiplicity 3)
O (0.0000, 0.0000, 0.1214) (multiplicity 6)

Computed properties:
electronic total energy: -6.44 eV/atom
E_form (uncorrected): -65.4 kJ/mol of atoms



# Nd3Y6ErTh2

A relaxed Nd3Y6ErTh2 crystal (PBE, Alexandria via LeMat-Bulk).

Cell: 6.233 10.789 11.859 Å, 90.00 100.10 90.00°
Space group C2/m (No. 12)
Inequivalent atoms, fractional coordinates:
Nd (0.000, 0.000, 0.000) (multiplicity 2)
Nd (0.000, 0.334, 0.000) (multiplicity 4)
Y (0.244, 0.000, 0.745) (multiplicity 4)
Y (0.250, 0.168, 0.255) (multiplicity 8)
Er (0.000, 0.500, 0.500) (multiplicity 2)
Th (0.000, 0.167, 0.500) (multiplicity 4)

Computed properties:
electronic total energy: -6.02 eV/atom



# NaZn3Au

A relaxed NaZn3Au crystal (PBE, Alexandria via LeMat-Bulk).

Cell: 5.189 7.064 10.063 Å, 90.00 90.00 90.00°
Space group Imma (No. 74)
Inequivalent atoms, fractional coordinates:
Na (0.000, 0.250, 0.008) (multiplicity 4)
Zn (0.000, 0.250, 0.306) (multiplicity 4)
Zn (0.250, 0.067, 0.750) (multiplicity 8)
Au (0.000, 0.000, 0.500) (multiplicity 4)

Computed properties:
electronic total energy: -1.81 eV/atom



Q: Which value of electronic total energy does entry 5 give?
A: -4.08 eV/atom